No. 1
MgCo | PBE | optimized geometry

Cell and atoms, written as extended XYZ:
```
16
Lattice="8.236 0.000 0.000 0.000 8.236 0.000 0.000 0.000 4.183" Properties=species:S:1:pos:R:3 pbc="T T T"
Mg 7.113 6.075 2.091
Mg 1.123 2.161 2.091
Mg 2.161 7.113 2.091
Mg 6.075 1.123 2.091
Mg 7.431 2.910 0.000
Mg 0.805 5.327 0.000
Mg 5.327 7.431 0.000
Mg 2.910 0.805 0.000
Co 5.730 3.710 2.091
Co 2.506 4.526 2.091
Co 4.526 5.730 2.091
Co 3.710 2.506 2.091
Co 5.653 4.855 0.000
Co 2.583 3.381 0.000
Co 3.381 5.653 0.000
Co 4.855 2.583 0.000
```

Values from the calculation:
Space-group type ... No. 83
Formation enthalpy at 0 K ... 216 meV per atom
Fermi-level density of states ... 0.96 states/eV/atom

No. 2
MgCo2 | PBE | optimized geometry

Cell and atoms, written as extended XYZ:
```
12
Lattice="-0.836 4.745 0.287 -3.660 -3.122 0.379 1.053 -0.286 7.805" Properties=species:S:1:pos:R:3 pbc="T T T"
Mg -2.652 -0.518 0.842
Mg -2.259 -0.625 3.757
Mg -1.184 1.961 4.714
Mg -0.791 1.854 7.629
Co 0.000 0.000 0.000
Co -0.647 1.015 2.114
Co -1.055 3.330 2.254
Co -2.841 1.807 2.439
Co 0.526 -0.143 3.903
Co -0.603 -0.471 6.032
Co -2.389 -1.994 6.217
Co -2.797 0.321 6.357
```

Values from the calculation:
Space-group type ... No. 194
Formation enthalpy at 0 K ... -38 meV per atom
Fermi-level density of states ... 1.00 states/eV/atom

No. 3
MgCo4 | PBE | optimized geometry

Cell and atoms, written as extended XYZ:
```
5
Lattice="4.275 1.026 -0.584 -2.787 0.991 3.304 0.329 -4.387 0.558" Properties=species:S:1:pos:R:3 pbc="T T T"
Mg 0.000 0.000 0.000
Co 2.364 0.267 1.024
Co 1.435 -2.051 0.736
Co -0.547 -2.637 2.255
Co 0.382 -0.318 2.542
```

Values from the calculation:
Space-group type ... No. 87
Formation enthalpy at 0 K ... 129 meV per atom
E above lowest polymorph ... 0.0 kJ/mol of formula units
Fermi-level density of states ... 1.13 states/eV/atom

Q: Among the records above, which one has the lowest Fermi-level density of states?
A: MgCo